(P)
A relaxed Ho2Tm4In crystal, computed with GGA-PBE.

Cell and atoms, written as CIF:
```
data_Ho2Tm4In
_symmetry_space_group_name_H-M 'P 1'
_symmetry_Int_Tables_number 1
_cell_length_a 5.744
_cell_length_b 6.563
_cell_length_c 11.308
_cell_angle_alpha 90.00
_cell_angle_beta 103.93
_cell_angle_gamma 90.00
loop_
_symmetry_equiv_pos_as_xyz
'x,y,z'
loop_
_atom_site_label
_atom_site_fract_x
_atom_site_fract_y
_atom_site_fract_z
Ho1 0.062 0.250 0.480
Ho2 0.337 0.750 0.073
Ho3 0.663 0.250 0.927
Ho4 0.938 0.750 0.520
Tm1 0.158 0.007 0.788
Tm2 0.158 0.493 0.788
Tm3 0.217 0.250 0.066
Tm4 0.373 0.750 0.371
Tm5 0.627 0.250 0.629
Tm6 0.783 0.750 0.934
Tm7 0.842 0.507 0.212
Tm8 0.842 0.993 0.212
In1 0.480 0.250 0.340
In2 0.520 0.750 0.660
```

(Q)
A relaxed Ho2Tm4In crystal, computed with GGA-PBE.

Cell and atoms, written as CIF:
```
data_Ho2Tm4In
_symmetry_space_group_name_H-M 'P 1'
_symmetry_Int_Tables_number 1
_cell_length_a 11.481
_cell_length_b 6.369
_cell_length_c 11.932
_cell_angle_alpha 70.35
_cell_angle_beta 31.49
_cell_angle_gamma 78.15
loop_
_symmetry_equiv_pos_as_xyz
'x,y,z'
loop_
_atom_site_label
_atom_site_fract_x
_atom_site_fract_y
_atom_site_fract_z
Ho1 0.227 0.773 0.298
Ho2 0.548 0.952 0.477
Ho3 0.773 0.227 0.702
Ho4 0.952 0.548 0.023
Tm1 0.016 0.171 0.251
Tm2 0.171 0.016 0.563
Tm3 0.351 0.495 0.487
Tm4 0.495 0.351 0.667
Tm5 0.583 0.763 0.755
Tm6 0.687 0.999 0.079
Tm7 0.763 0.583 0.899
Tm8 0.999 0.687 0.234
In1 0.078 0.078 0.922
In2 0.328 0.328 0.172
```

Most stable structure - (Q); separation to the second - 19 meV/atom.

(P)
A relaxed Ho3TmIn3 crystal, computed with GGA-PBE.

Cell and atoms, written as CIF:
```
data_Ho3TmIn3
_symmetry_space_group_name_H-M 'P 1'
_symmetry_Int_Tables_number 1
_cell_length_a 9.256
_cell_length_b 9.256
_cell_length_c 5.157
_cell_angle_alpha 90.00
_cell_angle_beta 90.00
_cell_angle_gamma 120.00
loop_
_symmetry_equiv_pos_as_xyz
'x,y,z'
loop_
_atom_site_label
_atom_site_fract_x
_atom_site_fract_y
_atom_site_fract_z
Ho1 0.005 0.234 0.250
Ho2 0.229 0.995 0.250
Ho3 0.234 0.229 0.750
Ho4 0.766 0.771 0.250
Ho5 0.771 0.005 0.750
Ho6 0.995 0.766 0.750
Tm1 0.333 0.667 0.250
Tm2 0.667 0.333 0.750
In1 0.073 0.456 0.750
In2 0.383 0.927 0.750
In3 0.456 0.383 0.250
In4 0.544 0.617 0.750
In5 0.617 0.073 0.250
In6 0.927 0.544 0.250
```

(Q)
A relaxed Ho3TmIn3 crystal, computed with GGA-PBE.

Cell and atoms, written as CIF:
```
data_Ho3TmIn3
_symmetry_space_group_name_H-M 'P 1'
_symmetry_Int_Tables_number 1
_cell_length_a 9.258
_cell_length_b 9.258
_cell_length_c 9.258
_cell_angle_alpha 90.00
_cell_angle_beta 90.00
_cell_angle_gamma 90.00
loop_
_symmetry_equiv_pos_as_xyz
'x,y,z'
loop_
_atom_site_label
_atom_site_fract_x
_atom_site_fract_y
_atom_site_fract_z
Ho1 0.071 0.429 0.571
Ho2 0.175 0.175 0.175
Ho3 0.175 0.825 0.325
Ho4 0.325 0.175 0.825
Ho5 0.325 0.825 0.675
Ho6 0.429 0.571 0.071
Ho7 0.571 0.071 0.429
Ho8 0.675 0.325 0.825
Ho9 0.675 0.675 0.675
Ho10 0.825 0.325 0.175
Ho11 0.825 0.675 0.325
Ho12 0.929 0.929 0.929
Tm1 0.078 0.578 0.922
Tm2 0.422 0.422 0.422
Tm3 0.578 0.922 0.078
Tm4 0.922 0.078 0.578
In1 0.001 0.255 0.874
In2 0.126 0.501 0.245
In3 0.245 0.126 0.501
In4 0.255 0.874 0.001
In5 0.374 0.499 0.745
In6 0.499 0.745 0.374
In7 0.501 0.245 0.126
In8 0.626 0.999 0.755
In9 0.745 0.374 0.499
In10 0.755 0.626 0.999
In11 0.874 0.001 0.255
In12 0.999 0.755 0.626
```

Most stable structure - (P); separation to the second - 16 meV/atom.

(P)
A relaxed HoTm3In crystal, computed with GGA-PBE.

Cell and atoms, written as CIF:
```
data_HoTm3In
_symmetry_space_group_name_H-M 'P 1'
_symmetry_Int_Tables_number 1
_cell_length_a 10.495
_cell_length_b 10.495
_cell_length_c 8.065
_cell_angle_alpha 104.51
_cell_angle_beta 104.51
_cell_angle_gamma 19.47
loop_
_symmetry_equiv_pos_as_xyz
'x,y,z'
loop_
_atom_site_label
_atom_site_fract_x
_atom_site_fract_y
_atom_site_fract_z
Ho1 0.182 0.182 0.386
Ho2 0.818 0.818 0.614
Tm1 0.012 0.012 0.235
Tm2 0.211 0.211 0.815
Tm3 0.384 0.384 0.973
Tm4 0.616 0.616 0.027
Tm5 0.789 0.789 0.185
Tm6 0.988 0.988 0.765
In1 0.415 0.415 0.415
In2 0.585 0.585 0.585
```

(Q)
A relaxed HoTm3In crystal, computed with GGA-PBE.

Cell and atoms, written as CIF:
```
data_HoTm3In
_symmetry_space_group_name_H-M 'P 1'
_symmetry_Int_Tables_number 1
_cell_length_a 12.658
_cell_length_b 12.658
_cell_length_c 4.755
_cell_angle_alpha 90.00
_cell_angle_beta 90.00
_cell_angle_gamma 158.33
loop_
_symmetry_equiv_pos_as_xyz
'x,y,z'
loop_
_atom_site_label
_atom_site_fract_x
_atom_site_fract_y
_atom_site_fract_z
Ho1 0.149 0.851 0.750
Ho2 0.851 0.149 0.250
Tm1 0.048 0.952 0.250
Tm2 0.250 0.750 0.250
Tm3 0.448 0.552 0.250
Tm4 0.552 0.448 0.750
Tm5 0.750 0.250 0.750
Tm6 0.952 0.048 0.750
In1 0.349 0.651 0.750
In2 0.651 0.349 0.250
```

Most stable structure - (Q); separation to the second - 10 meV/atom.

(P)
A relaxed Ho2TmIn crystal, computed with GGA-PBE.

Cell and atoms, written as CIF:
```
data_Ho2TmIn
_symmetry_space_group_name_H-M 'P 1'
_symmetry_Int_Tables_number 1
_cell_length_a 5.408
_cell_length_b 5.408
_cell_length_c 5.408
_cell_angle_alpha 60.00
_cell_angle_beta 60.00
_cell_angle_gamma 60.00
loop_
_symmetry_equiv_pos_as_xyz
'x,y,z'
loop_
_atom_site_label
_atom_site_fract_x
_atom_site_fract_y
_atom_site_fract_z
Ho1 0.250 0.250 0.250
Ho2 0.750 0.750 0.750
Tm1 0.000 0.000 0.000
In1 0.500 0.500 0.500
```

(Q)
A relaxed Ho2TmIn crystal, computed with GGA-PBE.

Cell and atoms, written as CIF:
```
data_Ho2TmIn
_symmetry_space_group_name_H-M 'P 1'
_symmetry_Int_Tables_number 1
_cell_length_a 4.811
_cell_length_b 4.811
_cell_length_c 4.803
_cell_angle_alpha 90.00
_cell_angle_beta 90.00
_cell_angle_gamma 90.00
loop_
_symmetry_equiv_pos_as_xyz
'x,y,z'
loop_
_atom_site_label
_atom_site_fract_x
_atom_site_fract_y
_atom_site_fract_z
Ho1 0.000 0.500 0.000
Ho2 0.500 0.000 0.000
Tm1 0.000 0.000 0.500
In1 0.500 0.500 0.500
```

(R)
A relaxed Ho2TmIn crystal, computed with GGA-PBE.

Cell and atoms, written as CIF:
```
data_Ho2TmIn
_symmetry_space_group_name_H-M 'P 1'
_symmetry_Int_Tables_number 1
_cell_length_a 3.545
_cell_length_b 3.545
_cell_length_c 9.178
_cell_angle_alpha 90.00
_cell_angle_beta 90.00
_cell_angle_gamma 90.00
loop_
_symmetry_equiv_pos_as_xyz
'x,y,z'
loop_
_atom_site_label
_atom_site_fract_x
_atom_site_fract_y
_atom_site_fract_z
Ho1 0.000 0.000 0.230
Ho2 0.000 0.000 0.770
Tm1 0.500 0.500 0.500
In1 0.500 0.500 0.000
```

Most stable structure - (Q); separation to the second - 35 meV/atom.